LaSm4Y3 PBE-GGA relaxed; size of the total moment = 0.00 μB/f.u.; relative energy among the computed polymorphs = 0.000 eV per atom; SG = Pmn2_1 (31); formation energy = 0.023 eV/atom
1.0
6.3682 0.0000 0.0000
0.0000 7.3794 0.0000
0.0000 0.0000 11.5979
Sm Y La
8 6 2
Direct
0.1472 0.8740 0.0000
0.9814 0.1241 0.7470
0.6529 0.1241 0.0000
0.1529 0.8759 0.5000
0.4814 0.8759 0.2470
0.4814 0.8759 0.7530
0.9814 0.1241 0.2530
0.6472 0.1260 0.5000
0.6465 0.6261 0.0000
0.1465 0.3739 0.5000
0.9817 0.6244 0.2506
0.4817 0.3756 0.2494
0.4817 0.3756 0.7506
0.9817 0.6244 0.7494
0.1425 0.3721 0.0000
0.6425 0.6279 0.5000